Entry 1:
# Ac8AgRu2

Ac8AgRu2 after structural relaxation (GGA-PBE, Alexandria via LeMat-Bulk).

Total magnetization   0.0 μB per formula unit
Space group   No. 12
DFT formation energy   -8 kJ/mol of atoms

abc: 7.349 8.544 8.544
angles: 60.43 104.03 104.03
Fractional coordinates of all 11 atoms:
Ac: 0.267 0.389 0.893
Ac: 0.733 0.107 0.611
Ac: 0.272 0.871 0.871
Ac: 0.728 0.129 0.129
Ac: 0.267 0.893 0.389
Ac: 0.733 0.611 0.107
Ac: 0.750 0.615 0.615
Ac: 0.250 0.385 0.385
Ag: 0.000 0.000 0.000
Ru: 0.517 0.741 0.741
Ru: 0.483 0.259 0.259



Entry 2:
# Ac7Ag2Ru2

Ac7Ag2Ru2 after structural relaxation (GGA-PBE, Alexandria via LeMat-Bulk).

Total magnetization   0.0 μB per formula unit
Space group   No. 44
DFT formation energy   -16 kJ/mol of atoms
Distance to the lowest polymorph of the same formula   0.0 kJ per mole of atoms

abc: 4.185 10.169 10.169
angles: 61.71 78.13 78.13
Fractional coordinates of all 11 atoms:
Ac: 0.816 0.089 0.278
Ac: 0.850 0.404 0.896
Ac: 0.500 0.020 0.980
Ac: 0.624 0.477 0.274
Ac: 0.376 0.726 0.523
Ac: 0.184 0.722 0.911
Ac: 0.150 0.104 0.596
Ag: 0.000 0.763 0.237
Ag: 0.500 0.343 0.657
Ru: 0.748 0.854 0.649
Ru: 0.252 0.351 0.146



Entry 3:
# Ac6Ag2Ru

Ac6Ag2Ru after structural relaxation (GGA-PBE, Alexandria via LeMat-Bulk).

Total magnetization   0.0 μB per formula unit
Space group   No. 14
DFT formation energy   -17 kJ/mol of atoms

abc: 7.364 8.123 11.205
angles: 90.00 92.98 90.00
Fractional coordinates of all 18 atoms:
Ac: 0.861 0.967 0.252
Ac: 0.832 0.688 0.564
Ac: 0.819 0.688 0.940
Ac: 0.681 0.188 0.560
Ac: 0.668 0.188 0.936
Ac: 0.639 0.467 0.248
Ac: 0.139 0.033 0.748
Ac: 0.168 0.312 0.436
Ac: 0.181 0.312 0.060
Ac: 0.319 0.812 0.440
Ac: 0.332 0.812 0.064
Ac: 0.361 0.533 0.752
Ag: 0.942 0.393 0.764
Ag: 0.558 0.893 0.736
Ag: 0.442 0.107 0.264
Ag: 0.058 0.607 0.236
Ru: 0.500 0.500 0.000
Ru: 0.000 0.000 0.500



Entry 4:
# Ac3Ag2Ru

Ac3Ag2Ru after structural relaxation (GGA-PBE, Alexandria via LeMat-Bulk).

Total magnetization   0.0 μB per formula unit
Space group   No. 11
DFT formation energy   -21 kJ/mol of atoms
Distance to the lowest polymorph of the same formula   0.0 kJ per mole of atoms

abc: 5.507 8.309 8.614
angles: 90.00 71.20 90.00
Fractional coordinates of all 12 atoms:
Ac: 0.500 0.250 0.000
Ac: 0.500 0.750 0.000
Ac: 0.136 0.000 0.729
Ac: 0.864 0.500 0.271
Ac: 0.136 0.500 0.729
Ac: 0.864 0.000 0.271
Ag: 0.705 0.750 0.591
Ag: 0.705 0.250 0.591
Ag: 0.295 0.750 0.409
Ag: 0.295 0.250 0.409
Ru: 0.999 0.750 0.000
Ru: 0.001 0.250 0.000



Entry 5:
# Ac2AgRu

Ac2AgRu after structural relaxation (GGA-PBE, Alexandria via LeMat-Bulk).

Total magnetization   0.0 μB per formula unit
Space group   No. 160
DFT formation energy   -11 kJ/mol of atoms

abc: 4.305 4.305 8.279
angles: 74.93 74.93 60.00
Fractional coordinates of all 4 atoms:
Ac: 0.068 0.068 0.796
Ac: 0.265 0.265 0.204
Ag: 0.501 0.501 0.497
Ru: 0.666 0.666 0.003



Entry 6:
# Ac6Ag3Ru2

Ac6Ag3Ru2 after structural relaxation (GGA-PBE, Alexandria via LeMat-Bulk).

Total magnetization   0.0 μB per formula unit
Space group   No. 139
DFT formation energy   -8 kJ/mol of atoms

abc: 5.566 5.566 12.318
angles: 103.06 103.06 90.00
Fractional coordinates of all 11 atoms:
Ac: 0.084 0.584 0.167
Ac: 0.584 0.084 0.167
Ac: 0.916 0.416 0.833
Ac: 0.416 0.916 0.833
Ac: 0.702 0.702 0.404
Ac: 0.298 0.298 0.596
Ag: 0.000 0.000 0.000
Ag: 0.835 0.835 0.671
Ag: 0.165 0.165 0.329
Ru: 0.436 0.436 0.872
Ru: 0.564 0.564 0.128



Number 1: DOS(E_F) 14.3 states/eV/cell. Number 2: DOS(E_F) 9.6 states/eV/cell. Number 3: DOS(E_F) 20.9 states/eV/cell. Number 4: DOS(E_F) 8.9 states/eV/cell. Number 5: DOS(E_F) 2.8 states/eV/cell. Number 6: DOS(E_F) 10.8 states/eV/cell.